[1]
DFT (PBE) results for a geometry-optimized MgSi2As structure.

Summary:
Formation energy (no corrections) ... 0.0778 eV per atom
Electronic total energy ... -16.78 eV per formula unit
Space group ... Pmm2
Excess energy over the best structure of this formula in the dataset ... 0.0 meV per atom

a = 3.1489 Å, b = 3.6874 Å, c = 7.0061 Å
α = 90.00°, β = 90.00°, γ = 90.00°
Atoms (fractional coordinates):
Mg  0.0000  0.0000  0.0000
Si  0.0000  0.0000  0.6232
Si  0.5000  0.5000  0.5084
As  0.5000  0.5000  0.1674


[2]
DFT (PBE) results for a geometry-optimized MgSi2As structure.

Summary:
Formation energy (no corrections) ... 0.3481 eV per atom
Electronic total energy ... -15.70 eV per formula unit
Space group ... F-43m
Excess energy over the best structure of this formula in the dataset ... 270.3 meV per atom

a = 6.5581 Å, b = 6.5581 Å, c = 6.5581 Å
α = 90.00°, β = 90.00°, γ = 90.00°
Atoms (fractional coordinates):
Mg  0.0000  0.0000  0.0000
Mg  0.0000  0.5000  0.5000
Mg  0.5000  0.0000  0.5000
Mg  0.5000  0.5000  0.0000
Si  0.0000  0.0000  0.5000
Si  0.0000  0.5000  0.0000
Si  0.2500  0.2500  0.7500
Si  0.2500  0.7500  0.2500
Si  0.5000  0.0000  0.0000
Si  0.5000  0.5000  0.5000
Si  0.7500  0.2500  0.2500
Si  0.7500  0.7500  0.7500
As  0.2500  0.2500  0.2500
As  0.2500  0.7500  0.7500
As  0.7500  0.2500  0.7500
As  0.7500  0.7500  0.2500


[3]
DFT (PBE) results for a geometry-optimized MgSi2As structure.

Summary:
Formation energy (no corrections) ... 0.2182 eV per atom
Electronic total energy ... -16.22 eV per formula unit
Space group ... Pmmm
Excess energy over the best structure of this formula in the dataset ... 140.4 meV per atom

a = 3.6803 Å, b = 3.8936 Å, c = 4.8977 Å
α = 90.00°, β = 90.00°, γ = 90.00°
Atoms (fractional coordinates):
Mg  0.0000  0.0000  0.0000
Si  0.0000  0.5000  0.5000
Si  0.5000  0.0000  0.5000
As  0.5000  0.5000  0.0000


Which of these has the lowest excess energy over the best structure of this formula in the dataset?
number 1